Entry 1:
Entry from Alexandria: a geometry-optimized Na3TaCo structure (GGA-PBE).

The calculation puts the density of states at the Fermi level at 2.93 states/eV/cell. The calculation puts the energy relative to the lowest polymorph listed for this composition at 16.0 kJ per mole of atoms. For the formation energy, the calculation gives 2.102 eV per atom.

The structure belongs to space group Pm-3m (No. 221); the cell edges are 5.919, 5.919 and 5.919 Å and the angles 90.00°, 90.00° and 90.00°. The distinct sites, in fractional coordinates, are Na at (0.000, 0.000, 0.500), Ta at (0.000, 0.000, 0.000) and Co at (0.500, 0.500, 0.500).



Entry 2:
Entry from Alexandria: a geometry-optimized Ac2PbAu3 structure (GGA-PBE).

The calculation puts the density of states at the Fermi level at 28.87 states/eV/cell. The calculation puts the energy relative to the lowest polymorph listed for this composition at 0.0 kJ per mole of atoms. For the formation energy, the calculation gives -0.712 eV per atom.

The structure belongs to space group Fmmm (No. 69); the cell edges are 8.086, 9.827 and 17.108 Å and the angles 90.00°, 90.00° and 90.00°. The distinct sites, in fractional coordinates, are Ac at (0.236, 0.000, 0.000), Ac at (0.250, 0.250, 0.250), Pb at (0.000, 0.000, 0.336), Au at (0.000, 0.000, 0.166) and Au at (0.000, 0.246, 0.082).



Entry 3:
Entry from Alexandria: a geometry-optimized RbPtCl structure (GGA-PBE).

The calculation puts the density of states at the Fermi level at 0.00 states/eV/cell. The uncorrected formation energy is -0.67 eV per atom. The calculation puts the energy relative to the lowest polymorph listed for this composition at 9.8 kJ per mole of atoms.

The structure belongs to space group Cm (No. 8); the cell edges are 16.296, 5.134 and 5.106 Å and the angles 90.00°, 102.69° and 90.00°. The distinct sites, in fractional coordinates, are Rb at (0.000, 0.000, 0.000), Rb at (0.249, 0.000, 0.445), Pt at (0.092, 0.500, 0.605), Pt at (0.139, 0.500, 0.159), Cl at (0.231, 0.500, 0.840) and Cl at (0.449, 0.000, 0.438).



Entry 4:
Entry from Alexandria: a geometry-optimized K2PaSiO6 structure (GGA-PBE).

The calculation puts the density of states at the Fermi level at 22.46 states/eV/cell. The uncorrected formation energy is -2.50 eV per atom.

The structure belongs to space group Fm-3m (No. 225); the cell edges are 8.039, 8.039 and 8.039 Å and the angles 90.00°, 90.00° and 90.00°. The distinct sites, in fractional coordinates, are K at (0.250, 0.250, 0.250), Pa at (0.000, 0.000, 0.000), Si at (0.000, 0.000, 0.500) and O at (0.000, 0.000, 0.273).



Entry 5:
Entry from Alexandria: a geometry-optimized AcCoTe structure (GGA-PBE).

The calculation puts the density of states at the Fermi level at 8.62 states/eV/cell. The uncorrected formation energy is -0.17 eV per atom.

The structure belongs to space group I4mm (No. 107); the cell edges are 3.682, 3.682 and 11.360 Å and the angles 90.00°, 90.00° and 90.00°. The distinct sites, in fractional coordinates, are Ac at (0.000, 0.000, 0.000), Co at (0.000, 0.000, 0.680) and Te at (0.000, 0.000, 0.284).



Entry 6:
Entry from Alexandria: a geometry-optimized CaMn2Ag structure (GGA-PBE).

The calculation puts the density of states at the Fermi level at 4.26 states/eV/cell. For the formation energy, the calculation gives 0.416 eV per atom.

The structure belongs to space group Pmm2 (No. 25); the cell edges are 3.223, 3.256 and 7.038 Å and the angles 90.00°, 90.00° and 90.00°. The distinct sites, in fractional coordinates, are Ca at (0.000, 0.000, 0.000), Mn at (0.000, 0.000, 0.557), Mn at (0.500, 0.500, 0.702) and Ag at (0.500, 0.500, 0.315).



Entry 7:
Entry from Alexandria: a geometry-optimized La8PmHo2 structure (GGA-PBE).

The calculation puts the density of states at the Fermi level at 40.26 states/eV/cell. The calculation puts the energy relative to the lowest polymorph listed for this composition at 0.0 kJ per mole of atoms. For the formation energy, the calculation gives 0.021 eV per atom.

The structure belongs to space group C2/m (No. 12); the cell edges are 18.731, 5.244 and 8.248 Å and the angles 90.00°, 105.37° and 90.00°. The distinct sites, in fractional coordinates, are La at (0.047, 0.000, 0.226), La at (0.092, 0.500, 0.955), La at (0.138, 0.000, 0.687), La at (0.182, 0.500, 0.412), Pm at (0.000, 0.500, 0.500) and Ho at (0.227, 0.000, 0.134).



Entry 8:
Entry from Alexandria: a geometry-optimized Pm2CdCu12Ni3 structure (GGA-PBE).

The calculation puts the density of states at the Fermi level at 21.95 states/eV/cell. For the formation energy, the calculation gives 0.091 eV per atom.

The structure belongs to space group R-3m (No. 166, hexagonal axes); the cell edges are 8.6129, 8.6129 and 12.4076 Å and the angles 90.00°, 90.00° and 120.00°. The distinct sites, in fractional coordinates, are Pm at (0.0000, 0.0000, 0.2429), Cd at (0.0000, 0.0000, 0.5000), Cu at (0.0044, 0.5022, 0.2060), Cu at (0.0473, 0.5236, 0.6019) and Ni at (0.0000, 0.5000, 0.0000).



Entry 9:
Entry from Alexandria: a geometry-optimized SrBeTc2 structure (GGA-PBE).

The calculation puts the density of states at the Fermi level at 9.81 states/eV/cell. For the formation energy, the calculation gives 0.826 eV per atom.

The structure belongs to space group I-42d (No. 122); the cell edges are 4.529, 4.529 and 17.152 Å and the angles 90.00°, 90.00° and 90.00°. The distinct sites, in fractional coordinates, are Sr at (0.000, 0.000, 0.000), Be at (0.000, 0.000, 0.500) and Tc at (0.059, 0.250, 0.625).



Entry 10:
Entry from Alexandria: a geometry-optimized HfNb3Ni structure (GGA-PBE).

The calculation puts the density of states at the Fermi level at 6.91 states/eV/cell. The calculation puts the energy relative to the lowest polymorph listed for this composition at 122.2 kJ per mole of atoms. For the formation energy, the calculation gives 1.942 eV per atom.

The structure belongs to space group Pm-3m (No. 221); the cell edges are 4.865, 4.865 and 4.865 Å and the angles 90.00°, 90.00° and 90.00°. The distinct sites, in fractional coordinates, are Hf at (0.000, 0.000, 0.000), Nb at (0.000, 0.000, 0.500) and Ni at (0.500, 0.500, 0.500).



Entry 11:
Entry from Alexandria: a geometry-optimized CdPbBr2 structure (GGA-PBE).

The uncorrected formation energy is -0.51 eV per atom. The calculation puts the energy relative to the lowest polymorph listed for this composition at 2.7 kJ per mole of atoms.

The structure belongs to space group Cm (No. 8); the cell edges are 11.175, 3.997 and 7.873 Å and the angles 90.00°, 122.18° and 90.00°. The distinct sites, in fractional coordinates, are Cd at (0.000, 0.000, 0.000), Pb at (0.271, 0.000, 0.661), Br at (0.077, 0.500, 0.709) and Br at (0.193, 0.500, 0.304).



Entry 12:
Entry from Alexandria: a geometry-optimized Ac3Al4Hg4 structure (GGA-PBE).

The calculation puts the density of states at the Fermi level at 7.66 states/eV/cell. The calculation puts the energy relative to the lowest polymorph listed for this composition at 0.5 kJ per mole of atoms. For the formation energy, the calculation gives -0.385 eV per atom.

The structure belongs to space group P-1 (No. 2); the cell edges are 4.433, 4.719 and 14.380 Å and the angles 99.42°, 98.87° and 90.03°. The distinct sites, in fractional coordinates, are Ac at (0.000, 0.000, 0.000), Ac at (0.151, 0.651, 0.301), Al at (0.251, 0.250, 0.504), Al at (0.404, 0.901, 0.804), Hg at (0.307, 0.804, 0.611) and Hg at (0.449, 0.447, 0.895).



Results for M_tot: 7.02, 0.00, 0.00, 3.78, 3.28, 5.19, 0.00, 0.00, 0.00, 0.00, 0.00, 0.00 (in μB per cell, following the order of the records).
Results for calculated volume: 41.47, 28.32, 34.73, 12.99, 25.67, 18.46, 35.51, 14.76, 21.98, 23.03, 37.21, 26.64 (in Å³/atom, following the order of the records).
Results for uncorrected energy: -2.481, -4.338, -3.623, -7.190, -4.951, -5.382, -4.827, -4.182, -5.709, -7.247, -2.502, -2.976 (in eV/atom, following the order of the records).